# LaTlCuPd

LaTlCuPd after structural relaxation (GGA-PBE, Alexandria).

calculated formation energy: -356.7 meV/atom
space-group type: No. 216
DOS at the Fermi energy: 3.43 states/eV/f.u.

abc: 4.974 4.974 4.974
angles: 60.00 60.00 60.00
Fractional positions:
La 0.000 0.000 0.000
Tl 0.500 0.500 0.500
Cu 0.750 0.750 0.750
Pd 0.250 0.250 0.250

# LaTmCuPd

LaTmCuPd after structural relaxation (GGA-PBE, Alexandria).

calculated formation energy: -509.8 meV/atom
space-group type: No. 216
DOS at the Fermi energy: 1.75 states/eV/f.u.
energy relative to the lowest polymorph listed for this composition: 0.13 eV/f.u.

abc: 5.048 5.048 5.048
angles: 60.00 60.00 60.00
Fractional positions:
La 0.000 0.000 0.000
Tm 0.500 0.500 0.500
Cu 0.250 0.250 0.250
Pd 0.750 0.750 0.750

# LaTmCuPd

LaTmCuPd after structural relaxation (GGA-PBE, Alexandria).

calculated formation energy: -542.8 meV/atom
space-group type: No. 38
DOS at the Fermi energy: 3.28 states/eV/f.u.
energy relative to the lowest polymorph listed for this composition: 0.00 eV/f.u.

abc: 4.606 5.646 5.646
angles: 39.80 90.00 90.00
Fractional positions:
La 0.000 0.000 0.000
Tm 0.500 0.277 0.277
Cu 0.000 0.721 0.721
Pd 0.500 0.569 0.569

# LaVCuPd2

LaVCuPd2 after structural relaxation (GGA-PBE, Alexandria).

calculated formation energy: 656.8 meV/atom
space-group type: No. 123
DOS at the Fermi energy: 5.21 states/eV/f.u.

abc: 4.628 4.628 5.417
angles: 90.00 90.00 90.00
Fractional positions:
La 0.000 0.000 0.000
V 0.000 0.000 0.500
Cu 0.500 0.500 0.000
Pd 0.000 0.500 0.500
Pd 0.500 0.000 0.500

# LaZn4Cu2Pd

LaZn4Cu2Pd after structural relaxation (GGA-PBE, Alexandria).

calculated formation energy: -255.9 meV/atom
space-group type: No. 166
DOS at the Fermi energy: 3.78 states/eV/f.u.

abc: 9.297 9.297 9.297
angles: 26.41 26.41 26.41
Fractional positions:
La 0.000 0.000 0.000
Zn 0.130 0.130 0.130
Zn 0.405 0.405 0.405
Zn 0.595 0.595 0.595
Zn 0.870 0.870 0.870
Cu 0.235 0.235 0.235
Cu 0.765 0.765 0.765
Pd 0.500 0.500 0.500

# La2Zn3CuPd12

La2Zn3CuPd12 after structural relaxation (GGA-PBE, Alexandria).

calculated formation energy: -191.1 meV/atom
space-group type: No. 166
DOS at the Fermi energy: 2.66 states/eV/f.u.

abc: 8.033 8.033 8.033
angles: 59.65 59.65 59.65
Fractional positions:
La 0.129 0.129 0.129
La 0.871 0.871 0.871
Zn 0.000 0.500 0.500
Zn 0.500 0.000 0.500
Zn 0.500 0.500 0.000
Cu 0.500 0.500 0.500
Pd 0.116 0.116 0.635
Pd 0.116 0.635 0.116
Pd 0.119 0.631 0.631
Pd 0.365 0.884 0.884
Pd 0.369 0.369 0.881
Pd 0.369 0.881 0.369
Pd 0.631 0.119 0.631
Pd 0.631 0.631 0.119
Pd 0.635 0.116 0.116
Pd 0.881 0.369 0.369
Pd 0.884 0.365 0.884
Pd 0.884 0.884 0.365

# LaZnCuPd2

LaZnCuPd2 after structural relaxation (GGA-PBE, Alexandria).

calculated formation energy: -412.0 meV/atom
space-group type: No. 67
DOS at the Fermi energy: 2.08 states/eV/f.u.

abc: 7.209 7.209 5.472
angles: 90.00 90.00 136.43
Fractional positions:
La 0.250 0.750 0.766
La 0.750 0.250 0.234
Zn 0.250 0.250 0.500
Zn 0.750 0.750 0.500
Cu 0.000 0.000 0.000
Cu 0.500 0.500 0.000
Pd 0.147 0.853 0.286
Pd 0.353 0.647 0.286
Pd 0.647 0.353 0.714
Pd 0.853 0.147 0.714

# La2Zn2CuPd5

La2Zn2CuPd5 after structural relaxation (GGA-PBE, Alexandria).

calculated formation energy: -545.6 meV/atom
space-group type: No. 127
DOS at the Fermi energy: 4.09 states/eV/f.u.

abc: 9.852 9.852 3.819
angles: 90.00 90.00 90.00
Fractional positions:
La 0.180 0.320 0.000
La 0.320 0.820 0.000
La 0.680 0.180 0.000
La 0.820 0.680 0.000
Zn 0.118 0.618 0.000
Zn 0.382 0.118 0.000
Zn 0.618 0.882 0.000
Zn 0.882 0.382 0.000
Cu 0.000 0.000 0.000
Cu 0.500 0.500 0.000
Pd 0.000 0.500 0.500
Pd 0.061 0.799 0.500
Pd 0.201 0.061 0.500
Pd 0.299 0.561 0.500
Pd 0.439 0.299 0.500
Pd 0.500 0.000 0.500
Pd 0.561 0.701 0.500
Pd 0.701 0.439 0.500
Pd 0.799 0.939 0.500
Pd 0.939 0.201 0.500

# LaZn2CuPd4

LaZn2CuPd4 after structural relaxation (GGA-PBE, Alexandria).

calculated formation energy: -530.8 meV/atom
space-group type: No. 166
DOS at the Fermi energy: 3.72 states/eV/f.u.

abc: 8.899 8.899 8.899
angles: 28.25 28.25 28.25
Fractional positions:
La 0.000 0.000 0.000
Zn 0.234 0.234 0.234
Zn 0.766 0.766 0.766
Cu 0.500 0.500 0.500
Pd 0.129 0.129 0.129
Pd 0.401 0.401 0.401
Pd 0.599 0.599 0.599
Pd 0.871 0.871 0.871

# LaZn2CuPd2

LaZn2CuPd2 after structural relaxation (GGA-PBE, Alexandria).

calculated formation energy: -294.5 meV/atom
space-group type: No. 123
DOS at the Fermi energy: 3.11 states/eV/f.u.

abc: 4.569 4.569 5.588
angles: 90.00 90.00 90.00
Fractional positions:
La 0.000 0.000 0.000
Zn 0.000 0.500 0.500
Zn 0.500 0.000 0.500
Cu 0.000 0.000 0.500
Pd 0.500 0.500 0.245
Pd 0.500 0.500 0.755

# LaZn2Cu2Pd

LaZn2Cu2Pd after structural relaxation (GGA-PBE, Alexandria).

calculated formation energy: -90.9 meV/atom
space-group type: No. 123
DOS at the Fermi energy: 3.15 states/eV/f.u.

abc: 4.802 4.802 5.332
angles: 90.00 90.00 90.00
Fractional positions:
La 0.000 0.000 0.000
Zn 0.000 0.500 0.500
Zn 0.500 0.000 0.500
Cu 0.500 0.500 0.243
Cu 0.500 0.500 0.757
Pd 0.000 0.000 0.500

# La2Zn4CuPd3

La2Zn4CuPd3 after structural relaxation (GGA-PBE, Alexandria).

calculated formation energy: -539.8 meV/atom
space-group type: No. 115
DOS at the Fermi energy: 5.59 states/eV/f.u.

abc: 4.342 4.342 10.446
angles: 90.00 90.00 90.00
Fractional positions:
La 0.000 0.500 0.245
La 0.500 0.000 0.755
Zn 0.000 0.000 0.500
Zn 0.000 0.500 0.876
Zn 0.500 0.000 0.124
Zn 0.500 0.500 0.500
Cu 0.500 0.500 0.000
Pd 0.000 0.000 0.000
Pd 0.000 0.500 0.635
Pd 0.500 0.000 0.365

# La2ZnCuPd6

La2ZnCuPd6 after structural relaxation (GGA-PBE, Alexandria).

calculated formation energy: -305.5 meV/atom
space-group type: No. 225
DOS at the Fermi energy: 6.97 states/eV/f.u.

abc: 6.672 6.672 6.672
angles: 60.00 60.00 60.00
Fractional positions:
La 0.250 0.250 0.250
La 0.750 0.750 0.750
Zn 0.000 0.000 0.000
Cu 0.500 0.500 0.500
Pd 0.250 0.250 0.750
Pd 0.250 0.750 0.250
Pd 0.250 0.750 0.750
Pd 0.750 0.250 0.250
Pd 0.750 0.250 0.750
Pd 0.750 0.750 0.250

# LaZn4CuPd2

LaZn4CuPd2 after structural relaxation (GGA-PBE, Alexandria).

calculated formation energy: -382.2 meV/atom
space-group type: No. 166
DOS at the Fermi energy: 4.43 states/eV/f.u.

abc: 9.148 9.148 9.148
angles: 27.31 27.31 27.31
Fractional positions:
La 0.000 0.000 0.000
Zn 0.132 0.132 0.132
Zn 0.405 0.405 0.405
Zn 0.595 0.595 0.595
Zn 0.868 0.868 0.868
Cu 0.500 0.500 0.500
Pd 0.232 0.232 0.232
Pd 0.768 0.768 0.768

# La2Zn2Cu5Pd

La2Zn2Cu5Pd after structural relaxation (GGA-PBE, Alexandria).

calculated formation energy: -83.4 meV/atom
space-group type: No. 127
DOS at the Fermi energy: 5.61 states/eV/f.u.

abc: 10.195 10.195 3.419
angles: 90.00 90.00 90.00
Fractional positions:
La 0.178 0.322 0.000
La 0.322 0.822 0.000
La 0.678 0.178 0.000
La 0.822 0.678 0.000
Zn 0.122 0.622 0.000
Zn 0.378 0.122 0.000
Zn 0.622 0.878 0.000
Zn 0.878 0.378 0.000
Cu 0.000 0.500 0.500
Cu 0.053 0.810 0.500
Cu 0.190 0.053 0.500
Cu 0.310 0.553 0.500
Cu 0.447 0.310 0.500
Cu 0.500 0.000 0.500
Cu 0.553 0.690 0.500
Cu 0.690 0.447 0.500
Cu 0.810 0.947 0.500
Cu 0.947 0.190 0.500
Pd 0.000 0.000 0.000
Pd 0.500 0.500 0.000

# LaPm2Cu2

LaPm2Cu2 after structural relaxation (GGA-PBE, Alexandria).

calculated formation energy: -84.3 meV/atom
space-group type: No. 11
DOS at the Fermi energy: 4.76 states/eV/f.u.
energy relative to the lowest polymorph listed for this composition: 0.04 eV/f.u.

abc: 5.053 4.763 11.212
angles: 90.00 97.48 90.00
Fractional positions:
La 0.192 0.250 0.244
La 0.808 0.750 0.756
Pm 0.247 0.750 0.491
Pm 0.349 0.250 0.884
Pm 0.651 0.750 0.116
Pm 0.753 0.250 0.509
Cu 0.115 0.750 0.002
Cu 0.288 0.250 0.635
Cu 0.712 0.750 0.365
Cu 0.885 0.250 0.998

# LaPm3Cu4

LaPm3Cu4 after structural relaxation (GGA-PBE, Alexandria).

calculated formation energy: -152.9 meV/atom
space-group type: No. 51
DOS at the Fermi energy: 5.98 states/eV/f.u.

abc: 10.175 7.142 5.089
angles: 90.00 90.00 90.00
Fractional positions:
La 0.000 0.000 0.000
La 0.500 0.000 0.000
Pm 0.000 0.500 0.000
Pm 0.250 0.000 0.498
Pm 0.250 0.500 0.498
Pm 0.500 0.500 0.000
Pm 0.750 0.000 0.502
Pm 0.750 0.500 0.502
Cu 0.000 0.257 0.500
Cu 0.000 0.743 0.500
Cu 0.250 0.257 0.996
Cu 0.250 0.743 0.996
Cu 0.500 0.257 0.500
Cu 0.500 0.743 0.500
Cu 0.750 0.257 0.004
Cu 0.750 0.743 0.004

# La2PmCu

La2PmCu after structural relaxation (GGA-PBE, Alexandria).

calculated formation energy: -62.3 meV/atom
space-group type: No. 62
DOS at the Fermi energy: 4.51 states/eV/f.u.
energy relative to the lowest polymorph listed for this composition: 0.00 eV/f.u.

abc: 7.148 10.354 6.619
angles: 90.00 90.00 90.00
Fractional positions:
La 0.195 0.058 0.171
La 0.195 0.442 0.171
La 0.305 0.558 0.671
La 0.305 0.942 0.671
La 0.695 0.058 0.329
La 0.695 0.442 0.329
La 0.805 0.558 0.829
La 0.805 0.942 0.829
Pm 0.027 0.250 0.647
Pm 0.473 0.750 0.147
Pm 0.527 0.250 0.853
Pm 0.973 0.750 0.353
Cu 0.104 0.750 0.929
Cu 0.396 0.250 0.429
Cu 0.604 0.750 0.571
Cu 0.896 0.250 0.071

# La2PmCu

La2PmCu after structural relaxation (GGA-PBE, Alexandria).

calculated formation energy: 215.7 meV/atom
space-group type: No. 166
DOS at the Fermi energy: 7.29 states/eV/f.u.
energy relative to the lowest polymorph listed for this composition: 1.11 eV/f.u.

abc: 11.351 11.351 11.351
angles: 18.26 18.26 18.26
Fractional positions:
La 0.103 0.103 0.103
La 0.897 0.897 0.897
Pm 0.000 0.000 0.000
Cu 0.500 0.500 0.500

# La2PmCu

La2PmCu after structural relaxation (GGA-PBE, Alexandria).

calculated formation energy: -49.8 meV/atom
space-group type: No. 11
DOS at the Fermi energy: 4.81 states/eV/f.u.
energy relative to the lowest polymorph listed for this composition: 0.05 eV/f.u.

abc: 5.036 7.897 6.520
angles: 90.00 112.71 90.00
Fractional positions:
La 0.143 0.031 0.286
La 0.143 0.469 0.286
La 0.857 0.531 0.714
La 0.857 0.969 0.714
Pm 0.452 0.250 0.904
Pm 0.548 0.750 0.096
Cu 0.299 0.750 0.595
Cu 0.701 0.250 0.405